VASP calculation (GGA-PBE) on crystalline NaNiTeN2 at its relaxed geometry.

Cell lengths 4.2196, 4.2196, 6.2267 Å; angles 90.00, 90.00, 90.00 degrees
Space group P4/mmm (No. 123)
Inequivalent atoms, fractional coordinates:
Na 0.0000 0.0000 0.0000 (multiplicity 1)
Ni 0.5000 0.5000 0.5000 (multiplicity 1)
Te 0.0000 0.0000 0.5000 (multiplicity 1)
N 0.0000 0.5000 0.0000 (multiplicity 2)

Output
VASP energy: -3.23 eV/atom
E above lowest polymorph: 1.0209 eV per atom
Formation energy without anion corrections: 10.75 eV/f.u.

VASP calculation (GGA-PBE) on crystalline NaUNiN3 at its relaxed geometry.

Cell lengths 6.8074, 3.5618, 8.5261 Å; angles 90.00, 107.21, 90.00 degrees
Space group P2_1/m (No. 11)
Inequivalent atoms, fractional coordinates:
Na 0.1881 0.2500 0.1715 (multiplicity 2)
U 0.3088 0.7500 0.8533 (multiplicity 2)
Ni 0.0277 0.2500 0.6244 (multiplicity 2)
N 0.1045 0.7500 0.6061 (multiplicity 2)
N 0.1247 0.2500 0.8617 (multiplicity 2)
N 0.4696 0.7500 0.1178 (multiplicity 2)

Output
VASP energy: -7.84 eV/atom
Formation energy without anion corrections: -3.70 eV/f.u.

VASP calculation (GGA-PBE) on crystalline Na3U3NiN8 at its relaxed geometry.

Cell lengths 12.1673, 6.5575, 6.7422 Å; angles 90.00, 123.21, 90.00 degrees
Space group C2/m (No. 12)
Inequivalent atoms, fractional coordinates:
Na 0.0000 0.0000 0.0000 (multiplicity 2)
Na 0.2500 0.2500 0.0000 (multiplicity 4)
U 0.0000 0.5000 0.5000 (multiplicity 2)
U 0.2500 0.2500 0.5000 (multiplicity 4)
Ni 0.0000 0.0000 0.5000 (multiplicity 2)
N 0.0311 0.2390 0.3425 (multiplicity 8)
N 0.2266 0.5000 0.6920 (multiplicity 4)
N 0.2300 0.5000 0.2895 (multiplicity 4)

Output
VASP energy: -8.02 eV/atom
Formation energy without anion corrections: -10.10 eV/f.u.

What is the VASP energy in the first record?
-3.23 eV/atom

Look up the VASP energy of the second one.
-7.84 eV/atom

Which value of VASP energy does entry 3 give?
-8.02 eV/atom

What is the formula in the first record?
NaNiTeN2